1.
# NdSmRh

An optimized crystal structure of NdSmRh (GGA-PBE, Alexandria).

Values from the calculation:
The value obtained for the size of the total moment is 0.0 μB per formula unit. For the density of states at the Fermi level, the calculation gives 1.10 states/eV per atom. As for the energy relative to the elements: -0.532 eV/atom. For the distance to the lowest polymorph of the same formula, the calculation gives 0.000 eV/atom.

a b c (Å): 6.575 6.575 8.389
angles (deg): 123.58 123.58 34.23
Element x y z (fractional)
Nd: 0.000 0.000 0.000
Nd: 0.585 0.585 0.693
Sm: 0.244 0.244 0.530
Sm: 0.835 0.835 0.224
Rh: 0.290 0.290 0.913
Rh: 0.542 0.542 0.313

=====

2.
# NdSm2Rh

An optimized crystal structure of NdSm2Rh (GGA-PBE, Alexandria).

Values from the calculation:
The value obtained for the size of the total moment is 0.0 μB per formula unit. For the density of states at the Fermi level, the calculation gives 1.33 states/eV per atom. As for the energy relative to the elements: -0.308 eV/atom. For the distance to the lowest polymorph of the same formula, the calculation gives 0.140 eV/atom.

a b c (Å): 9.611 9.611 9.611
angles (deg): 23.57 23.57 23.57
Element x y z (fractional)
Nd: 0.000 0.000 0.000
Sm: 0.557 0.557 0.557
Sm: 0.773 0.773 0.773
Rh: 0.165 0.165 0.165

=====

3.
# Nd2SmRh3

An optimized crystal structure of Nd2SmRh3 (GGA-PBE, Alexandria).

Values from the calculation:
The value obtained for the size of the total moment is 0.0 μB per formula unit. For the density of states at the Fermi level, the calculation gives 0.83 states/eV per atom. As for the energy relative to the elements: -0.668 eV/atom.

a b c (Å): 4.993 4.993 6.107
angles (deg): 90.00 90.00 120.00
Element x y z (fractional)
Nd: 0.333 0.667 0.167
Nd: 0.667 0.333 0.833
Sm: 0.000 0.000 0.500
Rh: 0.000 0.000 0.000
Rh: 0.333 0.667 0.663
Rh: 0.667 0.333 0.337

=====

4.
# Nd2Sm2Rh

An optimized crystal structure of Nd2Sm2Rh (GGA-PBE, Alexandria).

Values from the calculation:
The value obtained for the size of the total moment is 0.0 μB per formula unit. For the density of states at the Fermi level, the calculation gives 1.24 states/eV per atom. As for the energy relative to the elements: -0.264 eV/atom.

a b c (Å): 7.161 7.161 7.432
angles (deg): 102.49 102.49 115.58
Element x y z (fractional)
Nd: 0.179 0.733 0.748
Nd: 0.267 0.821 0.252
Nd: 0.733 0.179 0.748
Nd: 0.821 0.267 0.252
Sm: 0.243 0.243 0.606
Sm: 0.270 0.270 0.104
Sm: 0.730 0.730 0.896
Sm: 0.757 0.757 0.394
Rh: 0.378 0.622 0.500
Rh: 0.622 0.378 0.500